1.
SiPSe PBE-GGA optimized geometry; raw total energy = -12.85 eV/cell; raw formation energy = 1.47 eV/f.u.
1.0
7.569 -0.226 0.168
6.817 2.695 0.057
0.752 -0.947 2.764
Se Si P
1 1 1
direct
0.297 0.297 0.703
0.658 0.658 0.342
0.045 0.045 0.955

***

2.
Cs4Tl3AgBr12 PBE-GGA optimized geometry; raw total energy = -54.78 eV/cell; raw formation energy = -21.34 eV/f.u.
1.0
9.956 0.000 0.000
-3.319 9.386 0.000
-3.319 -4.693 8.129
Ag Br Cs Tl
1 12 4 3
direct
0.000 0.000 0.000
0.250 0.500 0.750
0.500 0.750 0.250
0.755 0.000 0.755
0.750 0.250 0.500
0.245 0.245 0.000
0.245 0.000 0.245
0.755 0.755 0.000
0.000 0.755 0.755
0.250 0.750 0.500
0.500 0.250 0.750
0.000 0.245 0.245
0.750 0.500 0.250
0.500 0.500 0.500
0.000 0.500 0.000
0.500 0.000 0.000
0.000 0.000 0.500
0.000 0.500 0.500
0.500 0.000 0.500
0.500 0.500 0.000

***

3.
Be2CuW PBE-GGA optimized geometry; raw total energy = -23.18 eV/cell
1.0
4.516 -0.014 0.000
1.859 4.116 0.000
-3.188 -2.051 2.455
Be W Cu
2 1 1
direct
0.250 0.750 0.500
0.000 0.000 0.000
0.750 0.250 0.500
0.500 0.500 0.000

***

4.
Sc3CoSi PBE-GGA optimized geometry; raw total energy = -31.95 eV/cell; raw formation energy = -0.43 eV/f.u.
1.0
-4.125 -1.842 -1.327
0.512 -3.436 3.179
-2.212 2.641 3.210
Sc Co Si
3 1 1
direct
0.500 0.000 0.000
0.000 0.000 0.500
0.000 0.500 0.000
0.000 0.000 0.000
0.500 0.500 0.500

***

5.
Tb2NdAu PBE-GGA optimized geometry; raw total energy = -18.45 eV/cell
1.0
-3.629 -0.218 1.091
-2.390 -2.327 -1.812
0.317 -8.120 6.036
Nd Tb Au
1 2 1
direct
0.501 0.501 0.497
0.067 0.067 0.798
0.266 0.266 0.203
0.666 0.666 0.002

***

6.
Zr2TiMoN PBE-GGA optimized geometry; raw total energy = -47.44 eV/cell; raw formation energy = -3.29 eV/f.u.
1.0
4.580 0.000 0.000
0.000 4.580 0.000
0.000 0.000 3.960
Ti Zr Mo N
1 2 1 1
direct
0.000 0.000 0.500
0.000 0.500 0.000
0.500 0.000 0.000
0.500 0.500 0.500
0.000 0.000 0.000

***

7.
TbHo4Tl4 PBE-GGA optimized geometry; raw total energy = -67.57 eV/cell
1.0
-5.535 1.316 -1.387
-2.537 -8.933 1.652
-1.744 2.163 9.014
Ho Tl Tb
8 8 2
direct
0.885 0.658 0.922
0.385 0.578 0.158
0.615 0.842 0.578
0.115 0.922 0.342
0.385 0.422 0.842
0.115 0.078 0.658
0.615 0.158 0.422
0.885 0.342 0.078
0.107 0.290 0.397
0.393 0.790 0.897
0.107 0.710 0.603
0.393 0.210 0.103
0.607 0.103 0.790
0.893 0.603 0.290
0.607 0.897 0.210
0.893 0.397 0.710
0.500 0.500 0.500
0.000 0.000 0.000

***

8.
PuFe4Ag PBE-GGA optimized geometry; raw total energy = -49.17 eV/cell
1.0
5.048 0.000 0.000
2.524 4.371 0.000
2.524 1.457 4.121
Fe Ag Pu
4 1 1
direct
0.624 0.624 0.127
0.624 0.127 0.624
0.127 0.624 0.624
0.624 0.624 0.624
0.250 0.250 0.250
0.000 0.000 0.000